Density functional theory data (GGA-PBE) for crystalline NbO4 at its relaxed geometry.

```
data_NbO4
_cell_length_a 3.996
_cell_length_b 3.996
_cell_length_c 3.996
_cell_angle_alpha 90.00
_cell_angle_beta 90.00
_cell_angle_gamma 90.00
_symmetry_space_group_name_H-M 'P m -3 m'
_symmetry_Int_Tables_number 221
_symmetry_space_group_name_Hall '-P 4 2 3'
loop_
_atom_site_label
_atom_site_type_symbol
_atom_site_fract_x
_atom_site_fract_y
_atom_site_fract_z
Nb1 Nb 0.000 0.000 0.000
O1 O 0.000 0.000 0.500
O2 O 0.500 0.500 0.500
```

Results
V, Å³ per atom: 12.8
Formation energy from raw total energies, kJ/mol of atoms: -95.39
Mass density, g/cm3: 4.1
Magnetic moment, μB/f.u.: 3.00

=====

Density functional theory data (GGA-PBE) for crystalline TiMnNi3 at its relaxed geometry.

```
data_TiMnNi3
_cell_length_a 4.193
_cell_length_b 4.193
_cell_length_c 4.193
_cell_angle_alpha 90.00
_cell_angle_beta 90.00
_cell_angle_gamma 90.00
_symmetry_space_group_name_H-M 'P m -3 m'
_symmetry_Int_Tables_number 221
_symmetry_space_group_name_Hall '-P 4 2 3'
loop_
_atom_site_label
_atom_site_type_symbol
_atom_site_fract_x
_atom_site_fract_y
_atom_site_fract_z
Ti1 Ti 0.000 0.000 0.000
Mn1 Mn 0.500 0.500 0.500
Ni1 Ni 0.000 0.500 0.500
```

Results
V, Å³ per atom: 14.7
Mass density, g/cm3: 6.3
Magnetic moment, μB/f.u.: 1.45
Energy of formation from the pure elements, eV/atom: 0.851

=====

Density functional theory data (GGA-PBE) for crystalline Tb2YPt9 at its relaxed geometry.

```
data_Tb2YPt9
_cell_length_a 4.128
_cell_length_b 4.128
_cell_length_c 12.385
_cell_angle_alpha 90.00
_cell_angle_beta 90.00
_cell_angle_gamma 90.00
_symmetry_space_group_name_H-M 'P 4/m m m'
_symmetry_Int_Tables_number 123
_symmetry_space_group_name_Hall '-P 4 2'
loop_
_atom_site_label
_atom_site_type_symbol
_atom_site_fract_x
_atom_site_fract_y
_atom_site_fract_z
Tb1 Tb 0.000 0.000 0.167
Y1 Y 0.000 0.000 0.500
Pt1 Pt 0.000 0.500 0.000
Pt2 Pt 0.000 0.500 0.333
Pt3 Pt 0.500 0.500 0.167
Pt4 Pt 0.500 0.500 0.500
```

Results
V, Å³ per atom: 17.6
Mass density, g/cm3: 17.0
Magnetic moment, μB/f.u.: 0.00
Energy of formation from the pure elements, eV/atom: -1.012

=====

Density functional theory data (GGA-PBE) for crystalline Ba7Sr2Ca3 at its relaxed geometry.

```
data_Ba7Sr2Ca3
_cell_length_a 7.429
_cell_length_b 4.182
_cell_length_c 21.840
_cell_angle_alpha 90.00
_cell_angle_beta 92.50
_cell_angle_gamma 90.00
_symmetry_space_group_name_H-M 'P 1 2/m 1'
_symmetry_Int_Tables_number 10
_symmetry_space_group_name_Hall '-P 2y'
loop_
_atom_site_label
_atom_site_type_symbol
_atom_site_fract_x
_atom_site_fract_y
_atom_site_fract_z
Ba1 Ba 0.000 0.000 0.000
Ba2 Ba 0.158 0.500 0.836
Ba3 Ba 0.256 0.500 0.526
Ba4 Ba 0.345 0.000 0.164
Sr1 Sr 0.190 0.500 0.337
Ca1 Ca 0.315 0.000 0.685
Ca2 Ca 0.500 0.500 0.000
```

Results
V, Å³ per atom: 56.5
Mass density, g/cm3: 3.1
Magnetic moment, μB/f.u.: 0.00
Energy of formation from the pure elements, eV/atom: 0.098

=====

Density functional theory data (GGA-PBE) for crystalline Ba2NaTe at its relaxed geometry.

```
data_Ba2NaTe
_cell_length_a 4.6187
_cell_length_b 4.6187
_cell_length_c 37.1534
_cell_angle_alpha 90.00
_cell_angle_beta 90.00
_cell_angle_gamma 120.00
_symmetry_space_group_name_H-M 'R -3 m'
_symmetry_Int_Tables_number 166
_symmetry_space_group_name_Hall '-R 3 2"'
loop_
_atom_site_label
_atom_site_type_symbol
_atom_site_fract_x
_atom_site_fract_y
_atom_site_fract_z
Ba1 Ba 0.0000 0.0000 0.1091
Na1 Na 0.0000 0.0000 0.0000
Te1 Te 0.0000 0.0000 0.5000
```

Results
V, Å³ per atom: 57.2
Formation energy from raw total energies, kJ/mol of atoms: -64.91
Mass density, g/cm3: 3.1
Magnetic moment, μB/f.u.: 0.00

=====

Density functional theory data (GGA-PBE) for crystalline RbNaAl2Cd at its relaxed geometry.

```
data_RbNaAl2Cd
_cell_length_a 5.543
_cell_length_b 5.543
_cell_length_c 6.039
_cell_angle_alpha 90.00
_cell_angle_beta 90.00
_cell_angle_gamma 90.00
_symmetry_space_group_name_H-M 'P 4/m m m'
_symmetry_Int_Tables_number 123
_symmetry_space_group_name_Hall '-P 4 2'
loop_
_atom_site_label
_atom_site_type_symbol
_atom_site_fract_x
_atom_site_fract_y
_atom_site_fract_z
Rb1 Rb 0.000 0.000 0.000
Na1 Na 0.000 0.000 0.500
Al1 Al 0.000 0.500 0.500
Cd1 Cd 0.500 0.500 0.000
```

Results
V, Å³ per atom: 37.1
Mass density, g/cm3: 2.5
Magnetic moment, μB/f.u.: 0.00
Energy of formation from the pure elements, eV/atom: 0.771

=====

Density functional theory data (GGA-PBE) for crystalline Nb2GaBr6 at its relaxed geometry.

```
data_Nb2GaBr6
_cell_length_a 3.578
_cell_length_b 7.576
_cell_length_c 9.562
_cell_angle_alpha 86.88
_cell_angle_beta 79.44
_cell_angle_gamma 89.75
_symmetry_space_group_name_H-M 'P -1'
_symmetry_Int_Tables_number 2
_symmetry_space_group_name_Hall '-P 1'
loop_
_atom_site_label
_atom_site_type_symbol
_atom_site_fract_x
_atom_site_fract_y
_atom_site_fract_z
Nb1 Nb 0.193 0.050 0.116
Ga1 Ga 0.500 0.500 0.500
Br1 Br 0.098 0.316 0.304
Br2 Br 0.246 0.736 0.013
Br3 Br 0.397 0.100 0.698
```

Results
V, Å³ per atom: 28.3
Formation energy from raw total energies, kJ/mol of atoms: -72.56
Mass density, g/cm3: 4.8
Magnetic moment, μB/f.u.: 0.00

=====

Density functional theory data (GGA-PBE) for crystalline Er2Ga4NiIr3 at its relaxed geometry.

```
data_Er2Ga4NiIr3
_cell_length_a 4.016
_cell_length_b 4.016
_cell_length_c 10.949
_cell_angle_alpha 90.00
_cell_angle_beta 90.00
_cell_angle_gamma 90.00
_symmetry_space_group_name_H-M 'P -4 m 2'
_symmetry_Int_Tables_number 115
_symmetry_space_group_name_Hall 'P -4 -2'
loop_
_atom_site_label
_atom_site_type_symbol
_atom_site_fract_x
_atom_site_fract_y
_atom_site_fract_z
Er1 Er 0.000 0.500 0.245
Ga1 Ga 0.000 0.000 0.500
Ga2 Ga 0.000 0.500 0.872
Ga3 Ga 0.500 0.500 0.500
Ni1 Ni 0.500 0.500 0.000
Ir1 Ir 0.000 0.000 0.000
Ir2 Ir 0.000 0.500 0.645
```

Results
V, Å³ per atom: 17.7
Mass density, g/cm3: 11.7
Magnetic moment, μB/f.u.: 0.00
Energy of formation from the pure elements, eV/atom: -0.668

=====

Density functional theory data (GGA-PBE) for crystalline Np3Tl3CoS8 at its relaxed geometry.

```
data_Np3Tl3CoS8
_cell_length_a 13.310
_cell_length_b 7.677
_cell_length_c 8.883
_cell_angle_alpha 90.00
_cell_angle_beta 119.99
_cell_angle_gamma 90.00
_symmetry_space_group_name_H-M 'C 1 2/m 1'
_symmetry_Int_Tables_number 12
_symmetry_space_group_name_Hall '-C 2y'
loop_
_atom_site_label
_atom_site_type_symbol
_atom_site_fract_x
_atom_site_fract_y
_atom_site_fract_z
Np1 Np 0.000 0.000 0.000
Np2 Np 0.250 0.250 0.000
Tl1 Tl 0.000 0.500 0.500
Tl2 Tl 0.250 0.250 0.500
Co1 Co 0.000 0.500 0.000
S1 S 0.017 0.268 0.819
S2 S 0.215 0.500 0.181
S3 S 0.234 0.000 0.201
```

Results
V, Å³ per atom: 26.2
Formation energy from raw total energies, kJ/mol of atoms: -81.30
Mass density, g/cm3: 6.9
Magnetic moment, μB/f.u.: 10.90

=====

Density functional theory data (GGA-PBE) for crystalline TbPmLuCd at its relaxed geometry.

```
data_TbPmLuCd
_cell_length_a 7.725
_cell_length_b 7.725
_cell_length_c 7.725
_cell_angle_alpha 90.00
_cell_angle_beta 90.00
_cell_angle_gamma 90.00
_symmetry_space_group_name_H-M 'F -4 3 m'
_symmetry_Int_Tables_number 216
_symmetry_space_group_name_Hall 'F -4 2 3'
loop_
_atom_site_label
_atom_site_type_symbol
_atom_site_fract_x
_atom_site_fract_y
_atom_site_fract_z
Tb1 Tb 0.000 0.000 0.000
Pm1 Pm 0.000 0.000 0.500
Lu1 Lu 0.250 0.250 0.750
Cd1 Cd 0.250 0.250 0.250
```

Results
V, Å³ per atom: 28.8
Mass density, g/cm3: 8.5
Magnetic moment, μB/f.u.: 0.01
Energy of formation from the pure elements, eV/atom: -0.051

=====

Density functional theory data (GGA-PBE) for crystalline GaSnPdPt at its relaxed geometry.

```
data_GaSnPdPt
_cell_length_a 6.508
_cell_length_b 6.508
_cell_length_c 6.508
_cell_angle_alpha 90.00
_cell_angle_beta 90.00
_cell_angle_gamma 90.00
_symmetry_space_group_name_H-M 'F -4 3 m'
_symmetry_Int_Tables_number 216
_symmetry_space_group_name_Hall 'F -4 2 3'
loop_
_atom_site_label
_atom_site_type_symbol
_atom_site_fract_x
_atom_site_fract_y
_atom_site_fract_z
Ga1 Ga 0.000 0.000 0.000
Sn1 Sn 0.000 0.000 0.500
Pd1 Pd 0.250 0.250 0.750
Pt1 Pt 0.250 0.250 0.250
```

Results
V, Å³ per atom: 17.2
Mass density, g/cm3: 11.8
Magnetic moment, μB/f.u.: 0.00
Energy of formation from the pure elements, eV/atom: -0.409

=====

Density functional theory data (GGA-PBE) for crystalline Tc4HAu2 at its relaxed geometry.

```
data_Tc4HAu2
_cell_length_a 3.950
_cell_length_b 3.950
_cell_length_c 13.033
_cell_angle_alpha 90.00
_cell_angle_beta 90.00
_cell_angle_gamma 90.00
_symmetry_space_group_name_H-M 'I 4/m m m'
_symmetry_Int_Tables_number 139
_symmetry_space_group_name_Hall '-I 4 2'
loop_
_atom_site_label
_atom_site_type_symbol
_atom_site_fract_x
_atom_site_fract_y
_atom_site_fract_z
Tc1 Tc 0.000 0.000 0.146
Tc2 Tc 0.000 0.500 0.000
H1 H 0.000 0.000 0.000
Au1 Au 0.000 0.000 0.348
```

Results
V, Å³ per atom: 14.5
Mass density, g/cm3: 12.9
Magnetic moment, μB/f.u.: 0.04
Total energy, eV per cell: -96.6